DFT (PBE with a Hubbard U) results for a geometry-optimized MnPO4 structure.

Output
VASP energy: -7.36 eV/atom
symmetry: No. 4
theoretical density: 2.863 g cm⁻³
total magnetic moment: 15.983 μB/cell

abc: 8.4031 4.8596 9.0741
angles: 90.00 110.21 90.00
Fractional coordinates of all 24 atoms:
Mn  0.0212  0.0000  0.1751
Mn  0.4598  0.3520  0.7441
Mn  0.5402  0.8520  0.2559
Mn  0.9788  0.5000  0.8249
P  0.2385  0.0437  0.9273
P  0.2558  0.5110  0.3672
P  0.7442  0.0110  0.6328
P  0.7615  0.5437  0.0727
O  0.1018  0.7055  0.3239
O  0.1063  0.2137  0.9802
O  0.1688  0.7537  0.8784
O  0.2010  0.2123  0.3175
O  0.2673  0.2007  0.7915
O  0.3441  0.5174  0.5473
O  0.3801  0.5993  0.2840
O  0.4086  0.0263  0.0662
O  0.5914  0.5263  0.9338
O  0.6199  0.0993  0.7160
O  0.6559  0.0174  0.4527
O  0.7327  0.7007  0.2085
O  0.7990  0.7123  0.6825
O  0.8312  0.2537  0.1216
O  0.8937  0.7137  0.0198
O  0.8982  0.2055  0.6761